{
  "formula": "Ge2Pt2Au",
  "functional": "PBE",
  "state": "relaxed",
  "rho_g_cm3": 13.5,
  "dft_energy_ev_per_atom": -5.0736,
  "de_polymorph_mev_per_atom": 21,
  "formation_enthalpy_0k_mev_per_atom": -155,
  "cell": [[3.886, 0.000, 0.000], [0.000, 3.886, 0.000], [1.943, 1.943, 5.952]],
  "species": ["Ge", "Ge", "Au", "Pt", "Pt"],
  "frac_coords": [[0.250, 0.750, 0.500], [0.750, 0.250, 0.500], [0.000, 0.000, 0.000], [0.614, 0.614, 0.772], [0.386, 0.386, 0.228]]
}

{
  "formula": "RbPuAg2Cl8",
  "functional": "PBE",
  "state": "relaxed",
  "rho_g_cm3": 3.6,
  "raw_formation_energy_kj_per_mol_atoms": -105.9,
  "dft_energy_ev_per_atom": -4.0790,
  "cell": [[-4.365, -6.259, -2.263], [0.805, 0.833, 7.875], [-3.745, 6.507, -2.642]],
  "species": ["Cl", "Cl", "Cl", "Cl", "Cl", "Cl", "Cl", "Cl", "Rb", "Pu", "Ag", "Ag"],
  "frac_coords": [[0.323, 0.102, 0.779], [0.898, 0.677, 0.221], [0.357, 0.023, 0.334], [0.457, 0.677, 0.779], [0.977, 0.643, 0.666], [0.977, 0.311, 0.334], [0.689, 0.023, 0.666], [0.323, 0.543, 0.221], [0.000, 0.000, 0.000], [0.250, 0.750, 0.500], [0.500, 0.500, 0.000], [0.750, 0.250, 0.500]]
}

{
  "formula": "ZrPNF2",
  "functional": "PBE",
  "state": "relaxed",
  "rho_g_cm3": 4.2,
  "raw_formation_energy_kj_per_mol_atoms": -42.0,
  "dft_energy_ev_per_atom": -5.6403,
  "de_polymorph_mev_per_atom": 699,
  "cell": [[-0.821, -4.151, -1.662], [3.753, -1.558, 2.038], [-1.773, -0.732, 2.704]],
  "species": ["Zr", "F", "F", "P", "N"],
  "frac_coords": [[0.500, 0.500, 0.500], [0.000, 0.500, 0.000], [0.500, 0.000, 0.000], [0.000, 0.000, 0.000], [0.000, 0.000, 0.500]]
}

{
  "formula": "LaY3Mo",
  "functional": "PBE",
  "state": "relaxed",
  "rho_g_cm3": 5.0,
  "dft_energy_ev_per_atom": -6.6869,
  "de_polymorph_mev_per_atom": 0,
  "formation_enthalpy_0k_mev_per_atom": 343,
  "cell": [[-2.143, -3.721, 3.417], [-3.158, -1.910, -4.061], [3.943, -3.552, -1.395]],
  "species": ["Y", "Y", "Y", "La", "Mo"],
  "frac_coords": [[0.000, 0.500, 0.000], [0.500, 0.000, 0.000], [0.000, 0.000, 0.500], [0.500, 0.500, 0.500], [0.000, 0.000, 0.000]]
}